Compound: Li2TaGeN
Source: Alexandria
Functional: GGA-PBE
Structure: optimized geometry

The uncorrected formation energy is -2.57 eV per formula unit.

The space group is P4/mmm (No. 123) and the conventional cell measures 3.921, 3.921 and 4.154 Å, with angles of 90.00, 90.00 and 90.00 degrees. Symmetry generates all atoms from Li at (0.000, 0.500, 0.000), Ta at (0.000, 0.000, 0.500), Ge at (0.500, 0.500, 0.500) and N at (0.000, 0.000, 0.000).